1.
The following is a PBE calculation of a relaxed structure of K3Nd3AlO8, from Alexandria via LeMat-Bulk.

The uncorrected formation energy comes out at -2.434 eV per atom. For the total energy, the calculation gives -292.6 eV for the cell shown. As for the density of states at the Fermi level: 33.3 states/eV per cell.

The structure belongs to space group R-3m (No. 166, hexagonal axes); the cell edges are 6.9809, 6.9809 and 18.9381 Å and the angles 90.00°, 90.00° and 120.00°. The inequivalent atoms are K at (0.0000, 0.5000, 0.0000), Nd at (0.0000, 0.5000, 0.5000), Al at (0.0000, 0.0000, 0.5000), O at (0.0000, 0.0000, 0.2308) and O at (0.0466, 0.5233, 0.2231).

=====

2.
The following is a PBE calculation of a relaxed structure of K3Nd2AlS6, from Alexandria via LeMat-Bulk.

The uncorrected formation energy comes out at -1.554 eV per atom. For the total energy, the calculation gives -120.0 eV for the cell shown. As for the density of states at the Fermi level: 0.0 states/eV per cell.

The structure belongs to space group C2/m (No. 12); the cell edges are 6.989, 12.117 and 7.738 Å and the angles 90.00°, 107.70° and 90.00°. The inequivalent atoms are K at (0.000, 0.000, 0.000), K at (0.000, 0.330, 0.000), Nd at (0.000, 0.166, 0.500), Al at (0.000, 0.500, 0.500), S at (0.216, 0.350, 0.697) and S at (0.233, 0.500, 0.305).

=====

3.
The following is a PBE calculation of a relaxed structure of K2NdAlS4, from Alexandria via LeMat-Bulk.

The uncorrected formation energy comes out at -1.359 eV per atom. For the total energy, the calculation gives -152.3 eV for the cell shown.

The structure belongs to space group Imma (No. 74); the cell edges are 7.894, 8.506 and 11.649 Å and the angles 90.00°, 90.00° and 90.00°. The inequivalent atoms are K at (0.000, 0.000, 0.000), K at (0.250, 0.250, 0.250), Nd at (0.000, 0.000, 0.500), Al at (0.250, 0.250, 0.750), S at (0.000, 0.055, 0.744) and S at (0.234, 0.250, 0.528).

=====

4.
The following is a PBE calculation of a relaxed structure of K2NdAl2Sb4, from Alexandria via LeMat-Bulk.

The uncorrected formation energy comes out at -0.501 eV per atom. For the total energy, the calculation gives -70.9 eV for the cell shown. As for the density of states at the Fermi level: 4.7 states/eV per cell.

The structure belongs to space group C2/m (No. 12); the cell edges are 16.642, 4.410 and 8.504 Å and the angles 90.00°, 108.03° and 90.00°. The inequivalent atoms are K at (0.132, 0.000, 0.053), Nd at (0.000, 0.000, 0.500), Al at (0.169, 0.500, 0.474), Sb at (0.015, 0.500, 0.244) and Sb at (0.206, 0.000, 0.681).

=====

5.
The following is a PBE calculation of a relaxed structure of K2NdAlSe4, from Alexandria via LeMat-Bulk.

The uncorrected formation energy comes out at -1.260 eV per atom. For the total energy, the calculation gives -138.9 eV for the cell shown.

The structure belongs to space group Imma (No. 74); the cell edges are 8.272, 8.858 and 12.207 Å and the angles 90.00°, 90.00° and 90.00°. The inequivalent atoms are K at (0.000, 0.000, 0.000), K at (0.250, 0.250, 0.250), Nd at (0.000, 0.000, 0.500), Al at (0.250, 0.250, 0.750), Se at (0.000, 0.052, 0.744) and Se at (0.235, 0.250, 0.525).

=====

6.
The following is a PBE calculation of a relaxed structure of K4Nd3AlTe8, from Alexandria via LeMat-Bulk.

The uncorrected formation energy comes out at -1.186 eV per atom. For the total energy, the calculation gives -199.6 eV for the cell shown. As for the density of states at the Fermi level: 3.2 states/eV per cell.

The structure belongs to space group R-3m (No. 166, hexagonal axes); the cell edges are 9.0731, 9.0731 and 24.7596 Å and the angles 90.00°, 90.00° and 120.00°. The inequivalent atoms are K at (0.0000, 0.0000, 0.0000), K at (0.0000, 0.5000, 0.0000), Nd at (0.0000, 0.5000, 0.5000), Al at (0.0000, 0.0000, 0.5000), Te at (0.0000, 0.0000, 0.2392) and Te at (0.0260, 0.5130, 0.2342).

=====

7.
The following is a PBE calculation of a relaxed structure of KAl4Ni, from Alexandria via LeMat-Bulk.

For the total energy, the calculation gives -78.5 eV for the cell shown. As for the density of states at the Fermi level: 12.1 states/eV per cell.

The structure belongs to space group F-43m (No. 216); the cell edges are 7.753, 7.753 and 7.753 Å and the angles 90.00°, 90.00° and 90.00°. The inequivalent atoms are K at (0.000, 0.000, 0.000), Al at (0.125, 0.125, 0.375) and Ni at (0.250, 0.250, 0.750).

=====

8.
The following is a PBE calculation of a relaxed structure of KAl2Ni2, from Alexandria via LeMat-Bulk.

For the total energy, the calculation gives -39.9 eV for the cell shown. As for the density of states at the Fermi level: 6.3 states/eV per cell.

The structure belongs to space group I4/mmm (No. 139); the cell edges are 4.127, 4.127 and 10.801 Å and the angles 90.00°, 90.00° and 90.00°. The inequivalent atoms are K at (0.000, 0.000, 0.000), Al at (0.000, 0.500, 0.250) and Ni at (0.000, 0.000, 0.376).

=====

9.
The following is a PBE calculation of a relaxed structure of KAlNi2, from Alexandria via LeMat-Bulk.

For the total energy, the calculation gives -16.0 eV for the cell shown. As for the density of states at the Fermi level: 1.9 states/eV per cell.

The structure belongs to space group P4/mmm (No. 123); the cell edges are 2.935, 2.935 and 7.941 Å and the angles 90.00°, 90.00° and 90.00°. The inequivalent atoms are K at (0.000, 0.000, 0.000), Al at (0.000, 0.000, 0.500) and Ni at (0.500, 0.500, 0.330).